Record 1
VASP calculation (PBE) on an optimized crystal structure of Mg2Cd8Cu.

abc: 4.597 4.597 11.202
angles: 90.00 90.00 90.00
Fractional coordinates of all 11 atoms:
Mg 0.000 0.000 0.187
Mg 0.000 0.000 0.813
Cd 0.000 0.500 0.000
Cd 0.000 0.500 0.369
Cd 0.000 0.500 0.631
Cd 0.500 0.000 0.000
Cd 0.500 0.000 0.369
Cd 0.500 0.000 0.631
Cd 0.500 0.500 0.185
Cd 0.500 0.500 0.815
Cu 0.000 0.000 0.500

Output
Total energy: -1.372 eV per atom
Calculated formation energy: -0.04 eV/atom
Density of states at the Fermi level: 0.1784 states/eV per atom


Record 2
VASP calculation (PBE) on an optimized crystal structure of Mg2CdCu.

abc: 7.716 7.716 5.627
angles: 90.00 90.00 90.00
Fractional coordinates of all 16 atoms:
Mg 0.204 0.250 0.125
Mg 0.250 0.704 0.375
Mg 0.250 0.796 0.875
Mg 0.296 0.250 0.625
Mg 0.704 0.750 0.625
Mg 0.750 0.204 0.875
Mg 0.750 0.296 0.375
Mg 0.796 0.750 0.125
Cd 0.000 0.000 0.500
Cd 0.000 0.500 0.750
Cd 0.500 0.000 0.250
Cd 0.500 0.500 0.000
Cu 0.000 0.000 0.000
Cu 0.000 0.500 0.250
Cu 0.500 0.000 0.750
Cu 0.500 0.500 0.500

Output
Total energy: -1.882 eV per atom
Calculated formation energy: 0.17 eV/atom
Density of states at the Fermi level: 0.3962 states/eV per atom


Record 3
VASP calculation (PBE) on an optimized crystal structure of MgCdCu4.

abc: 4.998 4.998 4.998
angles: 60.00 60.00 60.00
Fractional coordinates of all 6 atoms:
Mg 0.000 0.000 0.000
Cd 0.250 0.250 0.250
Cu 0.124 0.625 0.625
Cu 0.625 0.124 0.625
Cu 0.625 0.625 0.124
Cu 0.625 0.625 0.625

Output
Total energy: -3.227 eV per atom
Calculated formation energy: -0.08 eV/atom
Density of states at the Fermi level: 0.7552 states/eV per atom


Record 4
VASP calculation (PBE) on an optimized crystal structure of Mg3Cd2Cu.

abc: 7.323 7.323 7.418
angles: 90.00 90.00 143.69
Fractional coordinates of all 12 atoms:
Mg 0.000 0.000 0.239
Mg 0.000 0.000 0.761
Mg 0.325 0.675 0.214
Mg 0.325 0.675 0.786
Mg 0.675 0.325 0.214
Mg 0.675 0.325 0.786
Cd 0.169 0.831 0.500
Cd 0.500 0.500 0.000
Cd 0.500 0.500 0.500
Cd 0.831 0.169 0.500
Cu 0.156 0.844 0.000
Cu 0.844 0.156 0.000

Output
Total energy: -1.868 eV per atom
Calculated formation energy: -0.08 eV/atom
Density of states at the Fermi level: 0.3687 states/eV per atom


Record 5
VASP calculation (PBE) on an optimized crystal structure of Mg6Cd2Cu.

abc: 8.095 8.095 3.280
angles: 90.00 90.00 120.00
Fractional coordinates of all 9 atoms:
Mg 0.000 0.370 0.000
Mg 0.000 0.737 0.500
Mg 0.263 0.263 0.500
Mg 0.370 0.000 0.000
Mg 0.630 0.630 0.000
Mg 0.737 0.000 0.500
Cd 0.333 0.667 0.500
Cd 0.667 0.333 0.500
Cu 0.000 0.000 0.000

Output
Total energy: -1.813 eV per atom
Calculated formation energy: -0.09 eV/atom
Density of states at the Fermi level: 0.4071 states/eV per atom


Record 6
VASP calculation (PBE) on an optimized crystal structure of MgCd3Cu.

abc: 4.987 4.987 4.987
angles: 90.00 90.00 90.00
Fractional coordinates of all 5 atoms:
Mg 0.000 0.000 0.000
Cd 0.000 0.500 0.500
Cd 0.500 0.000 0.500
Cd 0.500 0.500 0.000
Cu 0.500 0.500 0.500

Output
Total energy: -1.471 eV per atom
Offset from the most stable computed form: 0.164 eV/atom
Calculated formation energy: 0.22 eV/atom
Density of states at the Fermi level: 0.3393 states/eV per atom


Record 7
VASP calculation (PBE) on an optimized crystal structure of Mg11Cd9Cu4.

abc: 12.602 12.602 3.221
angles: 90.00 90.00 112.20
Fractional coordinates of all 24 atoms:
Mg 0.000 0.000 0.000
Mg 0.065 0.414 0.000
Mg 0.157 0.843 0.000
Mg 0.309 0.309 0.000
Mg 0.372 0.628 0.000
Mg 0.414 0.065 0.000
Mg 0.586 0.935 0.000
Mg 0.628 0.372 0.000
Mg 0.691 0.691 0.000
Mg 0.843 0.157 0.000
Mg 0.935 0.586 0.000
Cd 0.076 0.221 0.500
Cd 0.158 0.631 0.500
Cd 0.221 0.076 0.500
Cd 0.369 0.842 0.500
Cd 0.500 0.500 0.500
Cd 0.631 0.158 0.500
Cd 0.779 0.924 0.500
Cd 0.842 0.369 0.500
Cd 0.924 0.779 0.500
Cu 0.248 0.450 0.500
Cu 0.450 0.248 0.500
Cu 0.550 0.752 0.500
Cu 0.752 0.550 0.500

Output
Total energy: -1.856 eV per atom
Calculated formation energy: -0.10 eV/atom
Density of states at the Fermi level: 0.2542 states/eV per atom


Record 8
VASP calculation (PBE) on an optimized crystal structure of Mg8CdCu2.

abc: 7.937 7.937 7.937
angles: 147.48 124.05 66.23
Fractional coordinates of all 11 atoms:
Mg 0.123 0.338 0.785
Mg 0.155 0.155 0.000
Mg 0.308 0.000 0.308
Mg 0.448 0.662 0.785
Mg 0.552 0.338 0.215
Mg 0.692 0.000 0.692
Mg 0.845 0.845 0.000
Mg 0.877 0.662 0.215
Cd 0.000 0.500 0.500
Cu 0.311 0.811 0.500
Cu 0.689 0.189 0.500

Output
Total energy: -2.028 eV per atom
Calculated formation energy: -0.04 eV/atom
Density of states at the Fermi level: 0.2715 states/eV per atom


Record 9
VASP calculation (PBE) on an optimized crystal structure of Mg5Cd4Cu.

abc: 3.214 3.214 19.906
angles: 90.00 90.00 90.00
Fractional coordinates of all 10 atoms:
Mg 0.000 0.000 0.000
Mg 0.000 0.000 0.212
Mg 0.000 0.000 0.422
Mg 0.000 0.000 0.578
Mg 0.000 0.000 0.788
Cd 0.500 0.500 0.106
Cd 0.500 0.500 0.317
Cd 0.500 0.500 0.683
Cd 0.500 0.500 0.894
Cu 0.500 0.500 0.500

Output
Total energy: -1.673 eV per atom
Calculated formation energy: -0.10 eV/atom
Density of states at the Fermi level: 0.1390 states/eV per atom


Record 10
VASP calculation (PBE) on an optimized crystal structure of Mg3Cd3Cu.

abc: 5.999 5.999 8.431
angles: 90.00 90.00 101.38
Fractional coordinates of all 14 atoms:
Mg 0.000 0.000 0.225
Mg 0.000 0.000 0.775
Mg 0.000 0.500 0.227
Mg 0.000 0.500 0.773
Mg 0.500 0.000 0.227
Mg 0.500 0.000 0.773
Cd 0.219 0.781 0.500
Cd 0.300 0.300 0.500
Cd 0.309 0.309 0.000
Cd 0.691 0.691 0.000
Cd 0.700 0.700 0.500
Cd 0.781 0.219 0.500
Cu 0.221 0.779 0.000
Cu 0.779 0.221 0.000

Output
Total energy: -1.679 eV per atom
Calculated formation energy: -0.02 eV/atom
Density of states at the Fermi level: 0.1934 states/eV per atom


Record 11
VASP calculation (PBE) on an optimized crystal structure of Mg2CdCu.

abc: 3.064 3.064 28.651
angles: 90.00 90.00 120.00
Fractional coordinates of all 12 atoms:
Mg 0.000 0.000 0.239
Mg 0.000 0.000 0.761
Mg 0.333 0.667 0.428
Mg 0.333 0.667 0.906
Mg 0.667 0.333 0.094
Mg 0.667 0.333 0.572
Cd 0.000 0.000 0.000
Cd 0.333 0.667 0.667
Cd 0.667 0.333 0.333
Cu 0.000 0.000 0.500
Cu 0.333 0.667 0.167
Cu 0.667 0.333 0.833

Output
Total energy: -2.016 eV per atom
Calculated formation energy: 0.03 eV/atom
Density of states at the Fermi level: 0.5090 states/eV per atom


Record 12
VASP calculation (PBE) on an optimized crystal structure of Mg2CdCu.

abc: 11.255 3.117 4.741
angles: 90.00 113.83 90.00
Fractional coordinates of all 8 atoms:
Mg 0.000 0.000 0.000
Mg 0.208 0.000 0.701
Mg 0.500 0.500 0.000
Mg 0.708 0.500 0.701
Cd 0.428 0.000 0.429
Cd 0.928 0.500 0.429
Cu 0.213 0.500 0.203
Cu 0.713 0.000 0.203

Output
Total energy: -2.101 eV per atom
Calculated formation energy: -0.05 eV/atom
Density of states at the Fermi level: 0.2463 states/eV per atom


Record 13
VASP calculation (PBE) on an optimized crystal structure of Mg2CdCuO4.

abc: 5.577 5.577 11.214
angles: 90.00 90.00 148.43
Fractional coordinates of all 16 atoms:
Mg 0.127 0.873 0.529
Mg 0.127 0.873 0.971
Mg 0.873 0.127 0.029
Mg 0.873 0.127 0.471
Cd 0.356 0.644 0.750
Cd 0.644 0.356 0.250
Cu 0.373 0.627 0.250
Cu 0.627 0.373 0.750
O 0.019 0.981 0.750
O 0.252 0.748 0.112
O 0.252 0.748 0.388
O 0.500 0.500 0.000
O 0.500 0.500 0.500
O 0.748 0.252 0.612
O 0.748 0.252 0.888
O 0.981 0.019 0.250

Output
Total energy: -5.017 eV per atom
E_form (uncorrected): -12.1 eV per formula unit
Density of states at the Fermi level: 0.5603 states/eV per atom


Record 14
VASP calculation (PBE) on an optimized crystal structure of Mg6CdCuO8.

abc: 4.360 4.360 8.658
angles: 90.00 90.00 90.00
Fractional coordinates of all 16 atoms:
Mg 0.000 0.000 0.000
Mg 0.000 0.500 0.246
Mg 0.000 0.500 0.754
Mg 0.500 0.000 0.246
Mg 0.500 0.000 0.754
Mg 0.500 0.500 0.000
Cd 0.000 0.000 0.500
Cu 0.500 0.500 0.500
O 0.000 0.000 0.234
O 0.000 0.000 0.766
O 0.000 0.500 0.000
O 0.000 0.500 0.500
O 0.500 0.000 0.000
O 0.500 0.000 0.500
O 0.500 0.500 0.249
O 0.500 0.500 0.751

Output
Total energy: -5.534 eV per atom
E_form (uncorrected): -34.3 eV per formula unit
Offset from the most stable computed form: 0.009 eV/atom
Density of states at the Fermi level: 0.1665 states/eV per atom


Record 15
VASP calculation (PBE) on an optimized crystal structure of Mg6CdCuO8.

abc: 4.371 4.371 8.619
angles: 90.00 90.00 90.00
Fractional coordinates of all 16 atoms:
Mg 0.000 0.000 0.000
Mg 0.000 0.000 0.500
Mg 0.000 0.500 0.242
Mg 0.000 0.500 0.758
Mg 0.500 0.000 0.242
Mg 0.500 0.000 0.758
Cd 0.500 0.500 0.500
Cu 0.500 0.500 0.000
O 0.000 0.000 0.250
O 0.000 0.000 0.750
O 0.000 0.500 0.000
O 0.000 0.500 0.500
O 0.500 0.000 0.000
O 0.500 0.000 0.500
O 0.500 0.500 0.233
O 0.500 0.500 0.767

Output
Total energy: -5.542 eV per atom
E_form (uncorrected): -34.4 eV per formula unit
Offset from the most stable computed form: 0.000 eV/atom
Density of states at the Fermi level: 0.1269 states/eV per atom


Record 16
VASP calculation (PBE) on an optimized crystal structure of Mg5Cd2CuPd2.

abc: 11.184 11.184 3.105
angles: 90.00 90.00 90.00
Fractional coordinates of all 20 atoms:
Mg 0.000 0.500 0.000
Mg 0.046 0.194 0.000
Mg 0.194 0.954 0.000
Mg 0.306 0.454 0.000
Mg 0.454 0.694 0.000
Mg 0.500 0.000 0.000
Mg 0.546 0.306 0.000
Mg 0.694 0.546 0.000
Mg 0.806 0.046 0.000
Mg 0.954 0.806 0.000
Cd 0.179 0.679 0.500
Cd 0.321 0.179 0.500
Cd 0.679 0.821 0.500
Cd 0.821 0.321 0.500
Cu 0.000 0.000 0.500
Cu 0.500 0.500 0.500
Pd 0.137 0.363 0.500
Pd 0.363 0.863 0.500
Pd 0.637 0.137 0.500
Pd 0.863 0.637 0.500

Output
Total energy: -2.726 eV per atom
Calculated formation energy: -0.30 eV/atom
Density of states at the Fermi level: 0.2956 states/eV per atom


Record 17
VASP calculation (PBE) on an optimized crystal structure of MgCd2Cu2Pd5.

abc: 9.159 9.159 3.935
angles: 90.00 90.00 90.00
Fractional coordinates of all 20 atoms:
Mg 0.000 0.000 0.000
Mg 0.500 0.500 0.000
Cd 0.171 0.329 0.000
Cd 0.329 0.829 0.000
Cd 0.671 0.171 0.000
Cd 0.829 0.671 0.000
Cu 0.124 0.624 0.000
Cu 0.376 0.124 0.000
Cu 0.624 0.876 0.000
Cu 0.876 0.376 0.000
Pd 0.000 0.500 0.500
Pd 0.080 0.802 0.500
Pd 0.198 0.080 0.500
Pd 0.302 0.580 0.500
Pd 0.420 0.302 0.500
Pd 0.500 0.000 0.500
Pd 0.580 0.698 0.500
Pd 0.698 0.420 0.500
Pd 0.802 0.920 0.500
Pd 0.920 0.198 0.500

Output
Total energy: -4.023 eV per atom
Calculated formation energy: -0.27 eV/atom
Density of states at the Fermi level: 0.2125 states/eV per atom


Record 18
VASP calculation (PBE) on an optimized crystal structure of PmMgCdCu.

abc: 7.060 7.060 7.060
angles: 90.00 90.00 90.00
Fractional coordinates of all 16 atoms:
Pm 0.000 0.000 0.000
Pm 0.000 0.500 0.500
Pm 0.500 0.000 0.500
Pm 0.500 0.500 0.000
Mg 0.000 0.000 0.500
Mg 0.000 0.500 0.000
Mg 0.500 0.000 0.000
Mg 0.500 0.500 0.500
Cd 0.250 0.250 0.250
Cd 0.250 0.750 0.750
Cd 0.750 0.250 0.750
Cd 0.750 0.750 0.250
Cu 0.250 0.250 0.750
Cu 0.250 0.750 0.250
Cu 0.750 0.250 0.250
Cu 0.750 0.750 0.750

Output
Total energy: -3.059 eV per atom
Calculated formation energy: -0.22 eV/atom
Density of states at the Fermi level: 0.6833 states/eV per atom


Record 19
VASP calculation (PBE) on an optimized crystal structure of Mg4CdCuRh2.

abc: 7.845 7.845 7.845
angles: 33.62 33.62 33.62
Fractional coordinates of all 8 atoms:
Mg 0.119 0.119 0.119
Mg 0.370 0.370 0.370
Mg 0.630 0.630 0.630
Mg 0.881 0.881 0.881
Cd 0.500 0.500 0.500
Cu 0.000 0.000 0.000
Rh 0.248 0.248 0.248
Rh 0.752 0.752 0.752

Output
Total energy: -3.577 eV per atom
Calculated formation energy: -0.31 eV/atom
Density of states at the Fermi level: 0.5375 states/eV per atom


Record 20
VASP calculation (PBE) on an optimized crystal structure of MgCdCuRh.

abc: 3.785 4.006 4.182
angles: 90.00 90.00 90.00
Fractional coordinates of all 4 atoms:
Mg 0.000 0.000 0.000
Cd 0.000 0.500 0.500
Cu 0.500 0.000 0.500
Rh 0.500 0.500 0.000

Output
Total energy: -3.723 eV per atom
Calculated formation energy: -0.23 eV/atom
Density of states at the Fermi level: 0.3251 states/eV per atom